1.
! PBE Pm4Pr3Er4, relaxed; values from VASP
! - uncorrected energy (eV/cell) = -49.9
! - energy above the most stable polymorph in this dataset (meV/atom) = 135
! - total magnetic moment (μB per cell) = 0.00
! - space group = No. 38
&SYSTEM
  ibrav = 0, nat = 11, ntyp = 3
/
ATOMIC_SPECIES
Er 167.26 Er.upf
Pm 145.00 Pm.upf
Pr 140.91 Pr.upf
CELL_PARAMETERS angstrom
-5.3886 1.9892 0.4503
1.5420 -2.8373 -5.8735
-3.2167 -9.5692 3.7781
ATOMIC_POSITIONS angstrom
Er -4.5615 -4.2039 0.8455
Er -1.2157 -3.2846 -0.0384
Er -2.8246 0.7863 -0.4134
Er -2.4836 -7.0564 1.4508
Pm -5.1888 -5.2071 -2.2294
Pm -3.7524 -0.6975 -4.9614
Pm -5.8035 -7.4582 0.3583
Pm -3.9600 -1.9739 -1.8070
Pr -0.5841 -0.9340 -2.8630
Pr -1.8797 -4.2910 -3.5379
Pr -3.2282 -8.3025 -1.9541

=====

2.
! PBE Pm9Pr2Er, relaxed; values from VASP
! - uncorrected energy (eV/cell) = -56.3
! - energy above the most stable polymorph in this dataset (meV/atom) = 35
! - total magnetic moment (μB per cell) = 0.00
! - space group = No. 191
&SYSTEM
  ibrav = 0, nat = 12, ntyp = 3
/
ATOMIC_SPECIES
Pm 145.00 Pm.upf
Er 167.26 Er.upf
Pr 140.91 Pr.upf
CELL_PARAMETERS angstrom
3.5562 0.0000 0.0000
0.0000 11.5284 0.0000
0.0000 -5.7642 9.9838
ATOMIC_POSITIONS angstrom
Pm 1.7781 -2.8071 8.2766
Pm 0.0000 5.7642 0.0000
Pm 1.7781 8.5713 1.7073
Pm 1.7781 2.9571 1.7073
Pm 0.0000 -2.8821 4.9919
Pm 1.7781 2.8071 8.2766
Pm 0.0000 2.8821 4.9919
Pm 1.7781 0.0000 3.4146
Pm 1.7781 5.7642 6.5693
Er 0.0000 0.0000 0.0000
Pr 0.0000 5.7642 3.3279
Pr 0.0000 0.0000 6.6559

=====

3.
! PBE Pm5Pr2Er4, relaxed; values from VASP
! - uncorrected energy (eV/cell) = -49.5
! - energy above the most stable polymorph in this dataset (meV/atom) = 115
! - total magnetic moment (μB per cell) = 0.00
! - space group = No. 71
&SYSTEM
  ibrav = 0, nat = 11, ntyp = 3
/
ATOMIC_SPECIES
Er 167.26 Er.upf
Pm 145.00 Pm.upf
Pr 140.91 Pr.upf
CELL_PARAMETERS angstrom
-2.8377 -1.9194 -0.8170
6.7280 -7.5860 -5.5462
-0.9268 -0.1092 11.0670
ATOMIC_POSITIONS angstrom
Er 2.1237 -5.6051 -1.7991
Er 0.8398 -4.0095 6.5029
Er 4.8675 -5.4883 -4.0126
Er 1.8604 -2.0977 -1.5336
Pm -2.1855 -2.5011 5.8759
Pm 5.1491 -7.1135 -1.1722
Pm 2.2961 -3.8967 1.1796
Pm 0.6674 -5.7178 3.5241
Pm -1.4188 -0.9597 -0.4085
Pr 2.5499 -7.6400 1.5011
Pr 0.4136 -1.9746 3.2026

=====

4.
! PBE Pm12PrEr7, relaxed; values from VASP
! - uncorrected energy (eV/cell) = -90.6
! - energy above the most stable polymorph in this dataset (meV/atom) = 0
! - total magnetic moment (μB per cell) = 0.01
! - space group = No. 148
&SYSTEM
  ibrav = 0, nat = 20, ntyp = 3
/
ATOMIC_SPECIES
Pm 145.00 Pm.upf
Er 167.26 Er.upf
Pr 140.91 Pr.upf
CELL_PARAMETERS angstrom
-0.1373 5.3319 7.7317
-6.0296 -7.0872 1.2815
8.6119 -3.6585 -0.8230
ATOMIC_POSITIONS angstrom
Pm 4.3683 -2.0368 2.6332
Pm 3.2865 -0.4880 5.9114
Pm 2.2014 0.7402 2.9699
Pm -0.8415 -4.9258 2.2787
Pm -0.4261 0.0968 5.4748
Pm -1.9233 -3.3770 5.5570
Pm 4.5201 -3.9267 5.4158
Pm -2.0751 -1.4871 2.7743
Pm 0.7298 -2.0833 7.7659
Pm 2.8711 -5.5106 2.7154
Pm 0.2436 -6.1540 5.2202
Pm 1.7152 -3.3305 0.4243
Er 4.4217 -7.8697 0.8669
Er -5.1580 -3.7843 6.4272
Er -2.6275 -7.4663 0.9588
Er 5.0725 2.0525 7.2313
Er 1.2225 -2.7069 4.0951
Er -1.9767 2.4559 7.3232
Er 7.6030 -1.6295 1.7629
Pr 0.0000 0.0000 0.0000